Material: Th6TcP2Se3
Method: DFT, GGA-PBE
State: optimized geometry

Magnetic moment ... 0.00 μB/f.u.
ΔE_f (raw) ... -127.8 kJ per mole of atoms
Calculated total energy ... -7.671 eV per atom

Cell and atoms, written as CIF:
```
data_Th6TcP2Se3
_symmetry_space_group_name_H-M 'C 1 2/m 1'
_symmetry_Int_Tables_number 12
_cell_length_a 18.410
_cell_length_b 4.133
_cell_length_c 8.535
_cell_angle_alpha 90.00
_cell_angle_beta 104.37
_cell_angle_gamma 90.00
loop_
_symmetry_equiv_pos_as_xyz
'x,y,z'
'-x,-y,-z'
'-x,y,-z'
'x,-y,z'
'x+1/2,y+1/2,z'
'-x+1/2,-y+1/2,-z'
'-x+1/2,y+1/2,-z'
'x+1/2,-y+1/2,z'
loop_
_atom_site_label
_atom_site_type_symbol
_atom_site_fract_x
_atom_site_fract_y
_atom_site_fract_z
Th1 Th 0.004 0.000 0.229
Th2 Th 0.160 0.500 0.094
Th3 Th 0.171 0.500 0.572
Tc1 Tc 0.000 0.500 0.000
P1 P 0.167 0.000 0.335
Se1 Se 0.000 0.500 0.500
Se2 Se 0.169 0.000 0.832
```


Material: V2TcPSe
Method: DFT, GGA-PBE
State: optimized geometry

Magnetic moment ... 3.47 μB/f.u.
ΔE_f (raw) ... 126.3 kJ per mole of atoms
Calculated total energy ... -6.191 eV per atom

Cell and atoms, written as CIF:
```
data_V2TcPSe
_symmetry_space_group_name_H-M 'P 4/m m m'
_symmetry_Int_Tables_number 123
_symmetry_space_group_name_Hall '-P 4 2'
_cell_length_a 4.430
_cell_length_b 4.430
_cell_length_c 4.744
_cell_angle_alpha 90.00
_cell_angle_beta 90.00
_cell_angle_gamma 90.00
loop_
_atom_site_label
_atom_site_type_symbol
_atom_site_fract_x
_atom_site_fract_y
_atom_site_fract_z
V1 V 0.000 0.500 0.000
Tc1 Tc 0.000 0.000 0.500
P1 P 0.500 0.500 0.500
Se1 Se 0.500 0.500 0.000
```


Material: TePSe2
Method: DFT, GGA-PBE
State: optimized geometry

Magnetic moment ... 0.00 μB/f.u.
Offset from the most stable computed form ... 16.6 kJ per mole of atoms
ΔE_f (raw) ... 31.4 kJ per mole of atoms
Calculated total energy ... -3.554 eV per atom

Cell and atoms, written as CIF:
```
data_TePSe2
_symmetry_space_group_name_H-M 'I -4 2 d'
_symmetry_Int_Tables_number 122
_symmetry_space_group_name_Hall 'I -4 2bw'
_cell_length_a 7.161
_cell_length_b 7.161
_cell_length_c 8.136
_cell_angle_alpha 90.00
_cell_angle_beta 90.00
_cell_angle_gamma 90.00
loop_
_atom_site_label
_atom_site_type_symbol
_atom_site_fract_x
_atom_site_fract_y
_atom_site_fract_z
Te1 Te 0.000 0.000 0.000
P1 P 0.000 0.000 0.500
Se1 Se 0.207 0.250 0.625
```


Material: TePSe2
Method: DFT, GGA-PBE
State: optimized geometry

Magnetic moment ... 0.00 μB/f.u.
Offset from the most stable computed form ... 5.0 kJ per mole of atoms
ΔE_f (raw) ... 19.8 kJ per mole of atoms
Calculated total energy ... -3.675 eV per atom

Cell and atoms, written as CIF:
```
data_TePSe2
_symmetry_space_group_name_H-M 'R 3 m'
_symmetry_Int_Tables_number 160
_symmetry_space_group_name_Hall 'R 3 -2"'
_cell_length_a 3.9980
_cell_length_b 3.9980
_cell_length_c 19.9313
_cell_angle_alpha 90.00
_cell_angle_beta 90.00
_cell_angle_gamma 120.00
loop_
_atom_site_label
_atom_site_type_symbol
_atom_site_fract_x
_atom_site_fract_y
_atom_site_fract_z
Te1 Te 0.0000 0.0000 0.0000
P1 P 0.0000 0.0000 0.2538
Se1 Se 0.0000 0.0000 0.5149
Se2 Se 0.0000 0.0000 0.7609
```


Material: TePSe
Method: DFT, GGA-PBE
State: optimized geometry

Magnetic moment ... 0.00 μB/f.u.
Offset from the most stable computed form ... 4.3 kJ per mole of atoms
ΔE_f (raw) ... 10.3 kJ per mole of atoms
Calculated total energy ... -3.906 eV per atom

Cell and atoms, written as CIF:
```
data_TePSe
_symmetry_space_group_name_H-M 'P 1'
_symmetry_Int_Tables_number 1
_cell_length_a 5.500
_cell_length_b 6.043
_cell_length_c 6.216
_cell_angle_alpha 77.14
_cell_angle_beta 73.78
_cell_angle_gamma 76.96
loop_
_symmetry_equiv_pos_as_xyz
'x,y,z'
loop_
_atom_site_label
_atom_site_type_symbol
_atom_site_fract_x
_atom_site_fract_y
_atom_site_fract_z
Te1 Te 0.000 0.000 0.000
Te2 Te 0.446 0.187 0.692
P1 P 0.107 0.789 0.661
P2 P 0.249 0.077 0.376
Se1 Se 0.717 0.767 0.631
Se2 Se 0.903 0.345 0.339
```


Material: TePSe2
Method: DFT, GGA-PBE
State: optimized geometry

Magnetic moment ... 0.00 μB/f.u.
Offset from the most stable computed form ... 46.4 kJ per mole of atoms
ΔE_f (raw) ... 61.2 kJ per mole of atoms
Calculated total energy ... -3.246 eV per atom

Cell and atoms, written as CIF:
```
data_TePSe2
_symmetry_space_group_name_H-M 'P 4/m m m'
_symmetry_Int_Tables_number 123
_symmetry_space_group_name_Hall '-P 4 2'
_cell_length_a 4.887
_cell_length_b 4.887
_cell_length_c 3.517
_cell_angle_alpha 90.00
_cell_angle_beta 90.00
_cell_angle_gamma 90.00
loop_
_atom_site_label
_atom_site_type_symbol
_atom_site_fract_x
_atom_site_fract_y
_atom_site_fract_z
Te1 Te 0.000 0.000 0.000
P1 P 0.500 0.500 0.000
Se1 Se 0.000 0.500 0.500
```